## Sm2Dy2YHo4 (GGA-PBE)

Data for Sm2Dy2YHo4 after structural relaxation.

Energy of formation from the pure elements (meV/atom): 5
Space-group type: C2/m
DOS(E_F) (states/eV per cell): 12.060

abc: 3.591 9.491 9.539
angles: 115.26 90.00 100.91
Atoms (fractional coordinates):
1 Sm 0.852 0.704 0.334
2 Sm 0.148 0.296 0.666
3 Dy 0.333 0.667 0.998
4 Dy 0.667 0.333 0.002
5 Y 0.000 0.000 0.000
6 Ho 0.815 0.630 0.666
7 Ho 0.185 0.370 0.334
8 Ho 0.519 0.038 0.333
9 Ho 0.481 0.962 0.667

=====

## SmDyY2Ho2 (GGA-PBE)

Data for SmDyY2Ho2 after structural relaxation.

Energy of formation from the pure elements (meV/atom): 269
Space-group type: Pnnm
DOS(E_F) (states/eV per cell): 19.345

abc: 3.398 6.531 17.771
angles: 90.00 90.00 90.00
Atoms (fractional coordinates):
1 Sm 0.000 0.000 0.000
2 Sm 0.500 0.500 0.500
3 Dy 0.500 0.500 0.000
4 Dy 0.000 0.000 0.500
5 Y 0.500 0.275 0.314
6 Y 0.000 0.775 0.186
7 Y 0.500 0.725 0.686
8 Y 0.000 0.225 0.814
9 Ho 0.500 0.777 0.353
10 Ho 0.500 0.223 0.647
11 Ho 0.000 0.723 0.853
12 Ho 0.000 0.277 0.147

=====

## SmDy2Y2Ho2 (GGA-PBE)

Data for SmDy2Y2Ho2 after structural relaxation.

Energy of formation from the pure elements (meV/atom): 140
Space-group type: R-3m
DOS(E_F) (states/eV per cell): 18.080

abc: 5.666 5.666 8.776
angles: 71.17 71.17 60.00
Atoms (fractional coordinates):
1 Sm 0.000 0.000 0.000
2 Dy 0.718 0.718 0.845
3 Dy 0.282 0.282 0.155
4 Y 0.141 0.141 0.576
5 Y 0.859 0.859 0.424
6 Ho 0.573 0.573 0.281
7 Ho 0.427 0.427 0.719

=====

## Sm2DyY3Ho6 (GGA-PBE)

Data for Sm2DyY3Ho6 after structural relaxation.

Energy of formation from the pure elements (meV/atom): 20
Space-group type: C2/m
DOS(E_F) (states/eV per cell): 16.556

abc: 6.157 6.157 11.775
angles: 94.98 94.98 119.95
Atoms (fractional coordinates):
1 Sm 0.333 0.667 0.000
2 Sm 0.667 0.333 0.000
3 Dy 0.000 0.000 0.000
4 Y 0.167 0.833 0.500
5 Y 0.833 0.167 0.500
6 Y 0.500 0.500 0.500
7 Ho 0.916 0.583 0.750
8 Ho 0.751 0.751 0.251
9 Ho 0.084 0.417 0.250
10 Ho 0.583 0.916 0.750
11 Ho 0.249 0.249 0.749
12 Ho 0.417 0.084 0.250

=====

Among the records above, which one has the highest DOS(E_F)?
SmDyY2Ho2